This record from Alexandria describes an optimized crystal structure of SrAl2Os. The functional is PBE-GGA.

Output
Space-group type ... Cmmm
ΔE_f ... 2.15 eV per formula unit
Electronic total energy ... -36.50 eV per cell
Size of the total moment ... 0.00 μB/cell

abc: 5.906 7.943 3.230
angles: 90.00 90.00 90.00
Atoms (fractional coordinates):
Sr 0.000 0.000 0.000
Sr 0.500 0.500 0.000
Al 0.250 0.250 0.500
Al 0.250 0.750 0.500
Al 0.750 0.250 0.500
Al 0.750 0.750 0.500
Os 0.000 0.500 0.000
Os 0.500 0.000 0.000

=====

This record from Alexandria describes an optimized crystal structure of SrAl2Os. The functional is PBE-GGA.

Output
Space-group type ... Immm
ΔE_f ... 0.81 eV per formula unit
Electronic total energy ... -39.17 eV per cell
Size of the total moment ... 0.00 μB/cell

abc: 4.079 4.982 7.752
angles: 90.00 90.00 90.00
Atoms (fractional coordinates):
Sr 0.000 0.000 0.000
Sr 0.500 0.500 0.500
Al 0.000 0.500 0.214
Al 0.000 0.500 0.786
Al 0.500 0.000 0.286
Al 0.500 0.000 0.714
Os 0.000 0.000 0.500
Os 0.500 0.500 0.000

=====

This record from Alexandria describes an optimized crystal structure of SrAl2Os. The functional is PBE-GGA.

Output
Space-group type ... P4mm
ΔE_f ... -0.06 eV per formula unit
Electronic total energy ... -20.45 eV per cell
Size of the total moment ... 0.00 μB/cell

abc: 3.357 3.357 7.378
angles: 90.00 90.00 90.00
Atoms (fractional coordinates):
Sr 0.000 0.000 0.000
Al 0.000 0.000 0.567
Al 0.500 0.500 0.347
Os 0.500 0.500 0.690

=====

This record from Alexandria describes an optimized crystal structure of SrAl2Os. The functional is PBE-GGA.

Output
Space-group type ... C2/m
ΔE_f ... 2.20 eV per formula unit
Electronic total energy ... -36.40 eV per cell
Size of the total moment ... 0.00 μB/cell

abc: 5.862 9.273 2.836
angles: 90.00 98.56 90.00
Atoms (fractional coordinates):
Sr 0.000 0.000 0.000
Sr 0.500 0.500 0.000
Al 0.250 0.250 0.500
Al 0.250 0.750 0.500
Al 0.750 0.250 0.500
Al 0.750 0.750 0.500
Os 0.000 0.500 0.000
Os 0.500 0.000 0.000

=====

This record from Alexandria describes an optimized crystal structure of SrAl2Os. The functional is PBE-GGA.

Output
Space-group type ... Fm-3m
ΔE_f ... 0.79 eV per formula unit
Electronic total energy ... -78.42 eV per cell
Size of the total moment ... 0.00 μB/cell

abc: 6.664 6.664 6.664
angles: 90.00 90.00 90.00
Atoms (fractional coordinates):
Sr 0.000 0.000 0.000
Sr 0.000 0.500 0.500
Sr 0.500 0.000 0.500
Sr 0.500 0.500 0.000
Al 0.250 0.250 0.250
Al 0.250 0.250 0.750
Al 0.250 0.750 0.250
Al 0.250 0.750 0.750
Al 0.750 0.250 0.250
Al 0.750 0.250 0.750
Al 0.750 0.750 0.250
Al 0.750 0.750 0.750
Os 0.000 0.000 0.500
Os 0.000 0.500 0.000
Os 0.500 0.000 0.000
Os 0.500 0.500 0.500

=====

This record from Alexandria describes an optimized crystal structure of SrAl2Os. The functional is PBE-GGA.

Output
Space-group type ... F-43m
ΔE_f ... 1.83 eV per formula unit
Electronic total energy ... -74.26 eV per cell
Size of the total moment ... 0.00 μB/cell

abc: 6.731 6.731 6.731
angles: 90.00 90.00 90.00
Atoms (fractional coordinates):
Sr 0.000 0.000 0.000
Sr 0.000 0.500 0.500
Sr 0.500 0.000 0.500
Sr 0.500 0.500 0.000
Al 0.000 0.000 0.500
Al 0.000 0.500 0.000
Al 0.250 0.250 0.750
Al 0.250 0.750 0.250
Al 0.500 0.000 0.000
Al 0.500 0.500 0.500
Al 0.750 0.250 0.250
Al 0.750 0.750 0.750
Os 0.250 0.250 0.250
Os 0.250 0.750 0.750
Os 0.750 0.250 0.750
Os 0.750 0.750 0.250

=====

Number 5 is which compound? SrAl2Os